Computed, not measured: a relaxed LaGdHg2 crystal at the PBE-GGA level of DFT.

Properties
**SG**: P4/mmm (123)
**Energy of formation from the pure elements**: -0.5026 eV per atom
**Fermi-level density of states**: 5.031 states/eV/f.u.
**E above lowest polymorph**: 0.00 kJ/mol of atoms

Cell: 3.802 3.802 7.765 Å, 90.00 90.00 90.00°
Last column: magnetic moment on the atom in μB.
Fractional coordinates of all 4 atoms:
Gd1 0.500 0.500 0.000  7.14
Hg1 0.000 0.000 0.769  0.01
Hg2 0.000 0.000 0.231  0.01
La1 0.500 0.500 0.500  0.17

***

Computed, not measured: a relaxed LaGdHg4 crystal at the PBE-GGA level of DFT.

Properties
**SG**: F-43m (216)
**Energy of formation from the pure elements**: -0.2924 eV per atom
**Fermi-level density of states**: 5.367 states/eV/f.u.

Cell: 6.040 6.040 6.040 Å, 60.00 60.00 60.00°
Last column: magnetic moment on the atom in μB.
Fractional coordinates of all 6 atoms:
Gd1 0.000 0.000 0.000  7.04
Hg1 0.625 0.625 0.125  -0.01
Hg2 0.625 0.125 0.625  -0.01
Hg3 0.625 0.625 0.625  -0.01
Hg4 0.125 0.625 0.625  -0.01
La1 0.250 0.250 0.250  0.02

***

Computed, not measured: a relaxed LaGdMgHg crystal at the PBE-GGA level of DFT.

Properties
**SG**: F-43m (216)
**Energy of formation from the pure elements**: -0.2849 eV per atom
**Fermi-level density of states**: 5.119 states/eV/f.u.

Cell: 5.454 5.454 5.454 Å, 60.00 60.00 60.00°
Last column: magnetic moment on the atom in μB.
Fractional coordinates of all 4 atoms:
Mg1 0.000 0.000 0.000  0.01
Gd1 0.750 0.750 0.750  -7.22
Hg1 0.500 0.500 0.500  -0.01
La1 0.250 0.250 0.250  -0.15

***

Computed, not measured: a relaxed LaGdNiHg crystal at the PBE-GGA level of DFT.

Properties
**SG**: F-43m (216)
**Energy of formation from the pure elements**: -0.3013 eV per atom
**Fermi-level density of states**: 4.186 states/eV/f.u.

Cell: 5.213 5.213 5.213 Å, 60.00 60.00 60.00°
Last column: magnetic moment on the atom in μB.
Fractional coordinates of all 4 atoms:
Ni1 0.250 0.250 0.250  -0.03
Gd1 0.500 0.500 0.500  7.05
Hg1 0.750 0.750 0.750  0.00
La1 0.000 0.000 0.000  0.02

***

Computed, not measured: a relaxed LaPmGdHg crystal at the PBE-GGA level of DFT.

Properties
**SG**: F-43m (216)
**Energy of formation from the pure elements**: -0.0808 eV per atom
**Fermi-level density of states**: 5.910 states/eV/f.u.

Cell: 5.548 5.548 5.548 Å, 60.00 60.00 60.00°
Last column: magnetic moment on the atom in μB.
Fractional coordinates of all 4 atoms:
Gd1 0.000 0.000 0.000  -7.42
La1 0.500 0.500 0.500  -0.25
Hg1 0.250 0.250 0.250  0.01
Pm1 0.750 0.750 0.750  -0.55

***

Computed, not measured: a relaxed LaGdHgSb crystal at the PBE-GGA level of DFT.

Properties
**SG**: F-43m (216)
**Uncorrected energy**: -6.5618 eV/atom
**Fermi-level density of states**: 4.980 states/eV/f.u.

Cell: 5.452 5.452 5.452 Å, 60.00 60.00 60.00°
Last column: magnetic moment on the atom in μB.
Fractional coordinates of all 4 atoms:
Sb1 0.000 0.000 0.000  -0.02
Gd1 0.250 0.250 0.250  7.18
Hg1 0.500 0.500 0.500  0.01
La1 0.750 0.750 0.750  0.14

***

Computed, not measured: a relaxed LaGdScHg crystal at the PBE-GGA level of DFT.

Properties
**SG**: F-43m (216)
**Energy of formation from the pure elements**: -0.1038 eV per atom
**Fermi-level density of states**: 6.525 states/eV/f.u.

Cell: 5.443 5.443 5.443 Å, 60.00 60.00 60.00°
Last column: magnetic moment on the atom in μB.
Fractional coordinates of all 4 atoms:
Sc1 0.750 0.750 0.750  0.27
Gd1 0.000 0.000 0.000  7.24
Hg1 0.250 0.250 0.250  0.00
La1 0.500 0.500 0.500  0.10

***

Computed, not measured: a relaxed LaGdSiHg crystal at the PBE-GGA level of DFT.

Properties
**SG**: F-43m (216)
**Uncorrected energy**: -6.6735 eV/atom
**Fermi-level density of states**: 3.394 states/eV/f.u.

Cell: 5.275 5.275 5.275 Å, 60.00 60.00 60.00°
Last column: magnetic moment on the atom in μB.
Fractional coordinates of all 4 atoms:
Si1 0.750 0.750 0.750  -0.05
Gd1 0.000 0.000 0.000  7.11
Hg1 0.250 0.250 0.250  0.00
La1 0.500 0.500 0.500  0.08

***

Computed, not measured: a relaxed LaSmGdHg crystal at the PBE-GGA level of DFT.

Properties
**SG**: F-43m (216)
**Energy of formation from the pure elements**: -0.0983 eV per atom
**Fermi-level density of states**: 7.043 states/eV/f.u.

Cell: 5.547 5.547 5.547 Å, 60.00 60.00 60.00°
Last column: magnetic moment on the atom in μB.
Fractional coordinates of all 4 atoms:
Gd1 0.250 0.250 0.250  -7.36
Hg1 0.750 0.750 0.750  0.02
Sm1 0.500 0.500 0.500  -0.13
La1 0.000 0.000 0.000  -0.11

***

Computed, not measured: a relaxed LaGdSnHg crystal at the PBE-GGA level of DFT.

Properties
**SG**: F-43m (216)
**Energy of formation from the pure elements**: -0.6181 eV per atom
**Fermi-level density of states**: 4.372 states/eV/f.u.

Cell: 5.454 5.454 5.454 Å, 60.00 60.00 60.00°
Last column: magnetic moment on the atom in μB.
Fractional coordinates of all 4 atoms:
Gd1 0.000 0.000 0.000  7.10
Hg1 0.750 0.750 0.750  -0.01
Sn1 0.250 0.250 0.250  -0.06
La1 0.500 0.500 0.500  0.07

***

Computed, not measured: a relaxed LaGdThHg crystal at the PBE-GGA level of DFT.

Properties
**SG**: F-43m (216)
**Energy of formation from the pure elements**: 0.0280 eV per atom
**Fermi-level density of states**: 6.303 states/eV/f.u.

Cell: 5.552 5.552 5.552 Å, 60.00 60.00 60.00°
Last column: magnetic moment on the atom in μB.
Fractional coordinates of all 4 atoms:
Gd1 0.750 0.750 0.750  7.22
Hg1 0.000 0.000 0.000  -0.01
Th1 0.500 0.500 0.500  0.28
La1 0.250 0.250 0.250  0.07

***

Computed, not measured: a relaxed LaGdTmHg crystal at the PBE-GGA level of DFT.

Properties
**SG**: F-43m (216)
**Energy of formation from the pure elements**: -0.1009 eV per atom
**Fermi-level density of states**: 5.322 states/eV/f.u.

Cell: 5.506 5.506 5.506 Å, 60.00 60.00 60.00°
Last column: magnetic moment on the atom in μB.
Fractional coordinates of all 4 atoms:
Gd1 0.750 0.750 0.750  -7.28
Tm1 0.500 0.500 0.500  -0.21
Hg1 0.000 0.000 0.000  0.00
La1 0.250 0.250 0.250  -0.11